Here is an optimized crystal structure of ZrUSe2 from Alexandria. Energies are from PBE.

Values from the calculation:
* Fermi-level density of states: 24.4 states/eV/cell
* crystal system: trigonal

Cell: 3.5778 3.5778 27.7533 Å, 90.00 90.00 120.00°
Space group R-3m (No. 166, hexagonal axes)
Inequivalent atoms, fractional coordinates:
Zr: 0.0000 0.0000 0.0000 [3 per cell]
U: 0.0000 0.0000 0.5000 [3 per cell]
Se: 0.0000 0.0000 0.3961 [6 per cell]

Here is an optimized crystal structure of ZrU2Se5 from Alexandria. Energies are from PBE.

Values from the calculation:
* Fermi-level density of states: 9.3 states/eV/cell
* crystal system: tetragonal

Cell: 6.9038 6.9038 4.7418 Å, 90.00 90.00 90.00°
Space group P4/mmm (No. 123)
Inequivalent atoms, fractional coordinates:
Zr: 0.0000 0.0000 0.0000 [1 per cell]
U: 0.0000 0.5000 0.5000 [2 per cell]
Se: 0.0000 0.0000 0.5000 [1 per cell]
Se: 0.2735 0.2735 0.0000 [4 per cell]

Here is an optimized crystal structure of ZrU5Se6 from Alexandria. Energies are from PBE.

Values from the calculation:
* Fermi-level density of states: 48.5 states/eV/cell
* crystal system: monoclinic

Cell: 7.1394 11.9122 6.8802 Å, 90.00 108.76 90.00°
Space group C2/m (No. 12)
Inequivalent atoms, fractional coordinates:
Zr: 0.0000 0.0000 0.0000 [2 per cell]
U: 0.0000 0.1716 0.5000 [4 per cell]
U: 0.0000 0.3374 0.0000 [4 per cell]
U: 0.0000 0.5000 0.5000 [2 per cell]
Se: 0.2379 0.0000 0.7474 [4 per cell]
Se: 0.2415 0.1638 0.2416 [8 per cell]

Here is an optimized crystal structure of VSe from Alexandria. Energies are from PBE.

Values from the calculation:
* Fermi-level density of states: 9.4 states/eV/cell
* crystal system: cubic

Cell: 7.1044 7.1044 7.1044 Å, 90.00 90.00 90.00°
Space group Pm-3n (No. 223)
Inequivalent atoms, fractional coordinates:
V: 0.0000 0.2500 0.5000 [6 per cell]
Se: 0.0000 0.5000 0.2500 [6 per cell]

Here is an optimized crystal structure of VSe from Alexandria. Energies are from PBE.

Values from the calculation:
* Fermi-level density of states: 7.0 states/eV/cell
* crystal system: cubic

Cell: 5.7644 5.7644 5.7644 Å, 90.00 90.00 90.00°
Space group F-43m (No. 216)
Inequivalent atoms, fractional coordinates:
V: 0.0000 0.0000 0.0000 [4 per cell]
Se: 0.2500 0.2500 0.7500 [4 per cell]

Here is an optimized crystal structure of V5Se6 from Alexandria. Energies are from PBE.

Values from the calculation:
* Fermi-level density of states: 26.8 states/eV/cell
* crystal system: monoclinic

Cell: 6.4673 11.0007 6.4648 Å, 90.00 109.85 90.00°
Space group C2/m (No. 12)
Inequivalent atoms, fractional coordinates:
V: 0.0000 0.0000 0.0000 [2 per cell]
V: 0.0000 0.1528 0.5000 [4 per cell]
V: 0.0000 0.3166 0.0000 [4 per cell]
Se: 0.2448 0.3327 0.7438 [8 per cell]
Se: 0.2457 0.5000 0.2289 [4 per cell]

Here is an optimized crystal structure of VSe from Alexandria. Energies are from PBE.

Values from the calculation:
* Fermi-level density of states: 7.1 states/eV/cell
* crystal system: tetragonal

Cell: 10.4927 10.4927 3.3600 Å, 90.00 90.00 90.00°
Space group I4/m (No. 87)
Inequivalent atoms, fractional coordinates:
V: 0.1687 0.7150 0.0000 [8 per cell]
Se: 0.0659 0.2503 0.0000 [8 per cell]

Here is an optimized crystal structure of VSe from Alexandria. Energies are from PBE.

Values from the calculation:
* Fermi-level density of states: 7.1 states/eV/cell
* crystal system: orthorhombic

Cell: 3.3054 10.8714 6.1311 Å, 90.00 90.00 90.00°
Space group Amm2 (No. 38)
Inequivalent atoms, fractional coordinates:
V: 0.0000 0.0000 0.0000 [2 per cell]
V: 0.5000 0.1886 0.0436 [4 per cell]
Se: 0.0000 0.1692 0.7356 [4 per cell]
Se: 0.5000 0.0000 0.2922 [2 per cell]

Here is an optimized crystal structure of VSe from Alexandria. Energies are from PBE.

Values from the calculation:
* Fermi-level density of states: 4.5 states/eV/cell
* crystal system: hexagonal

Cell: 3.4590 3.4590 6.8109 Å, 90.00 90.00 120.00°
Space group P6_3/mmc (No. 194)
Inequivalent atoms, fractional coordinates:
V: 0.3333 0.6667 0.2500 [2 per cell]
Se: 0.0000 0.0000 0.0000 [2 per cell]

Here is an optimized crystal structure of VSe from Alexandria. Energies are from PBE.

Values from the calculation:
* Fermi-level density of states: 9.0 states/eV/cell
* crystal system: hexagonal

Cell: 8.8074 8.8074 3.6228 Å, 90.00 90.00 120.00°
Space group P6_3/m (No. 176)
Inequivalent atoms, fractional coordinates:
V: 0.1293 0.4947 0.2500 [6 per cell]
Se: 0.0360 0.7065 0.2500 [6 per cell]

Here is an optimized crystal structure of VSe from Alexandria. Energies are from PBE.

Values from the calculation:
* Fermi-level density of states: 9.9 states/eV/cell
* crystal system: tetragonal

Cell: 10.7196 10.7196 3.4176 Å, 90.00 90.00 90.00°
Space group P4/m (No. 83)
Inequivalent atoms, fractional coordinates:
V: 0.0355 0.3780 0.0000 [4 per cell]
V: 0.1216 0.7022 0.5000 [4 per cell]
Se: 0.0933 0.2244 0.5000 [4 per cell]
Se: 0.1889 0.5527 0.0000 [4 per cell]

Here is an optimized crystal structure of VSe4 from Alexandria. Energies are from PBE.

Values from the calculation:
* Fermi-level density of states: 5.9 states/eV/cell
* crystal system: cubic

Cell: 4.7928 4.7928 4.7928 Å, 90.00 90.00 90.00°
Space group Pm-3m (No. 221)
Inequivalent atoms, fractional coordinates:
V: 0.0000 0.0000 0.0000 [1 per cell]
Se: 0.0000 0.0000 0.5000 [3 per cell]
Se: 0.5000 0.5000 0.5000 [1 per cell]

Number 1: uncorrected formation energy -628 meV per atom. Number 2: uncorrected formation energy -557 meV per atom. Number 3: uncorrected formation energy -1022 meV per atom. Number 4: uncorrected formation energy -181 meV per atom. Number 5: uncorrected formation energy -291 meV per atom. Number 6: uncorrected formation energy -497 meV per atom. Number 7: uncorrected formation energy -362 meV per atom. Number 8: uncorrected formation energy -538 meV per atom. Number 9: uncorrected formation energy -233 meV per atom. Number 10: uncorrected formation energy -418 meV per atom. Number 11: uncorrected formation energy -421 meV per atom. Number 12: uncorrected formation energy 172 meV per atom.